1.
! LaBiBr6 PBE optimized geometry; values from VASP
! **D(E_F)**: 0.0 states/eV per cell
! **Uncorrected formation energy**: -1020 kJ/mol of formula units
! **Space-group type**: No. 12
! **Magnetization**: 0.000 μB per formula unit
! **VASP energy**: -3.677 eV/atom
&SYSTEM
  ibrav = 0, nat = 8, ntyp = 3
/
ATOMIC_SPECIES
La 138.91 La.upf
Bi 208.98 Bi.upf
Br 79.90 Br.upf
CELL_PARAMETERS angstrom
-1.271 6.323 -3.294
-5.650 3.007 3.412
1.305 4.514 5.892
ATOMIC_POSITIONS crystal
La 0.000 0.000 0.000
Bi 0.500 0.500 0.000
Br 0.745 0.407 0.701
Br 0.745 0.108 0.299
Br 0.255 0.892 0.701
Br 0.255 0.593 0.299
Br 0.746 0.750 0.000
Br 0.254 0.250 0.000

***

2.
! ZrNb3Sn PBE optimized geometry; values from VASP
! **D(E_F)**: 5.1 states/eV per cell
! **Space-group type**: No. 221
! **Magnetization**: 0.000 μB per formula unit
! **VASP energy**: -7.151 eV/atom
! **Formation energy**: 1.40 eV per atom
! **E above lowest polymorph**: 0.000 eV/atom
&SYSTEM
  ibrav = 0, nat = 5, ntyp = 3
/
ATOMIC_SPECIES
Nb 92.91 Nb.upf
Sn 118.71 Sn.upf
Zr 91.22 Zr.upf
CELL_PARAMETERS angstrom
4.939 0.000 0.000
0.000 4.939 0.000
0.000 0.000 4.939
ATOMIC_POSITIONS crystal
Nb 0.000 0.500 0.000
Nb 0.000 0.000 0.500
Nb 0.500 0.000 0.000
Sn 0.500 0.500 0.500
Zr 0.000 0.000 0.000

***

3.
! ErMnFeC PBE optimized geometry; values from VASP
! **D(E_F)**: 6.1 states/eV per cell
! **Space-group type**: No. 129
! **Magnetization**: 0.771 μB per formula unit
! **VASP energy**: -7.874 eV/atom
! **Formation energy**: -0.02 eV per atom
&SYSTEM
  ibrav = 0, nat = 8, ntyp = 4
/
ATOMIC_SPECIES
Er 167.26 Er.upf
Mn 54.94 Mn.upf
Fe 55.84 Fe.upf
C 12.01 C.upf
CELL_PARAMETERS angstrom
3.310 0.000 0.000
0.000 3.310 0.000
0.000 0.000 10.005
ATOMIC_POSITIONS crystal
Er 0.750 0.750 0.251
Er 0.250 0.250 0.749
Mn 0.750 0.250 0.000
Mn 0.250 0.750 0.000
Fe 0.250 0.750 0.500
Fe 0.750 0.250 0.500
C 0.750 0.750 0.880
C 0.250 0.250 0.120

***

4.
! Fe2HgP PBE optimized geometry; values from VASP
! **D(E_F)**: 4.5 states/eV per cell
! **Space-group type**: No. 119
! **Magnetization**: 5.478 μB per formula unit
! **VASP energy**: -5.184 eV/atom
! **Formation energy**: 0.47 eV per atom
! **E above lowest polymorph**: 0.436 eV/atom
&SYSTEM
  ibrav = 0, nat = 4, ntyp = 3
/
ATOMIC_SPECIES
Fe 55.84 Fe.upf
Hg 200.59 Hg.upf
P 30.97 P.upf
CELL_PARAMETERS angstrom
4.965 0.008 0.000
2.096 4.501 0.000
-3.530 -2.255 2.665
ATOMIC_POSITIONS crystal
Fe 0.000 0.000 0.000
Fe 0.250 0.750 0.500
Hg 0.500 0.500 0.000
P 0.750 0.250 0.500

***

5.
! Ba2AlCdRh PBE optimized geometry; values from VASP
! **D(E_F)**: 4.2 states/eV per cell
! **Space-group type**: No. 123
! **Magnetization**: 0.000 μB per formula unit
! **VASP energy**: -3.426 eV/atom
! **Formation energy**: -0.26 eV per atom
&SYSTEM
  ibrav = 0, nat = 5, ntyp = 4
/
ATOMIC_SPECIES
Al 26.98 Al.upf
Rh 102.91 Rh.upf
Ba 137.33 Ba.upf
Cd 112.41 Cd.upf
CELL_PARAMETERS angstrom
-5.545 -0.783 2.364
2.477 -1.143 5.432
-0.203 4.695 1.080
ATOMIC_POSITIONS crystal
Al 0.000 0.000 0.500
Rh 0.000 0.000 0.000
Ba 0.000 0.500 0.000
Ba 0.500 0.000 0.000
Cd 0.500 0.500 0.500

***

6.
! EuGaPd2 PBE optimized geometry; values from VASP
! **D(E_F)**: 12.9 states/eV per cell
! **Space-group type**: No. 166
! **Magnetization**: 6.995 μB per formula unit
! **VASP energy**: -6.648 eV/atom
! **Formation energy**: -0.73 eV per atom
&SYSTEM
  ibrav = 0, nat = 4, ntyp = 3
/
ATOMIC_SPECIES
Eu 151.96 Eu.upf
Ga 69.72 Ga.upf
Pd 106.42 Pd.upf
CELL_PARAMETERS angstrom
4.405 0.000 0.000
2.203 3.815 0.000
2.203 1.272 5.011
ATOMIC_POSITIONS crystal
Eu 0.500 0.500 0.500
Ga 0.000 0.000 0.000
Pd 0.294 0.294 0.118
Pd 0.706 0.706 0.882